Record 1
{"formula": "TaHIr2Ru", "functional": "GGA-PBE", "state": "relaxed", "polymorph_energy_mev_per_atom": 97, "rho_g_cm3": 17.748, "energy_ev_per_atom": -8.7481, "lattice_angstrom": [[-1.261, 3.613, 0.760], [-3.624, -1.057, -0.986], [-0.744, -1.078, 3.888]], "species": ["Ru", "Ir", "Ta", "H", "Ir"], "fractional_positions": [[0.500, 0.500, 0.500], [0.000, 0.500, 0.000], [0.000, 0.000, 0.500], [0.000, 0.000, 0.000], [0.500, 0.000, 0.000]]}

Record 2
{"formula": "TaHIrRu2", "functional": "GGA-PBE", "state": "relaxed", "polymorph_energy_mev_per_atom": 28, "rho_g_cm3": 15.523, "energy_ev_per_atom": -8.8329, "lattice_angstrom": [[3.906, 0.000, 0.000], [0.000, 3.906, 0.000], [0.000, 0.000, 4.040]], "species": ["H", "Ir", "Ru", "Ta", "Ru"], "fractional_positions": [[0.000, 0.000, 0.000], [0.500, 0.500, 0.500], [0.000, 0.500, 0.000], [0.000, 0.000, 0.500], [0.500, 0.000, 0.000]]}